1.
Below is YBe3Mo after structural relaxation, with properties calculated at the PBE level.

abc: 4.460 4.460 4.460
angles: 90.00 90.00 90.00
Site moments in Bohr magnetons follow the coordinates.
Fractional coordinates of all 5 atoms:
Y (0.000, 0.000, 0.000)  0.98
Be (0.000, 0.500, 0.000)  0.20
Be (0.000, 0.000, 0.500)  0.14
Mo (0.500, 0.500, 0.500)  -1.48
Be (0.500, 0.000, 0.000)  0.31

Mass density   4.0 g/cm3
Relative energy among the computed polymorphs   9.07 eV/f.u.


2.
Below is Be2AsPb after structural relaxation, with properties calculated at the PBE level.

abc: 5.950 5.950 5.950
angles: 144.34 144.34 51.31
Fractional coordinates of all 4 atoms:
Be (0.000, 0.000, 0.000)
Be (0.250, 0.750, 0.500)
As (0.750, 0.250, 0.500)
Pb (0.500, 0.500, 0.000)

Mass density   7.0 g/cm3
Relative energy among the computed polymorphs   1.91 eV/f.u.